*one*
## BaY2Fe (SCAN)

Data for a PBEsol-optimized structure of BaY2Fe.

Lattice parameters (Å, degrees): 6.599 11.423 3.425 90.00 119.14 90.00
Space group C2/m (No. 12)
Asymmetric unit:
1 Ba 0.000 0.000 0.000 [2 per cell]
2 Y 0.250 0.250 0.500 [4 per cell]
3 Fe 0.000 0.500 0.000 [2 per cell]

Calculated density: 5.5 g cm⁻³
DOS(E_F): 4.1 states/eV/f.u.

*two*
## BaY2Fe (SCAN)

Data for a PBEsol-optimized structure of BaY2Fe.

Lattice parameters (Å, degrees): 7.478 7.478 7.478 90.00 90.00 90.00
Space group Fm-3m (No. 225)
Asymmetric unit:
1 Ba 0.000 0.000 0.000 [4 per cell]
2 Y 0.250 0.250 0.250 [8 per cell]
3 Fe 0.000 0.000 0.500 [4 per cell]

Calculated density: 5.9 g cm⁻³
DOS(E_F): 4.1 states/eV/f.u.

Which of them is the most stable, and which is the least stable? *two* and *one*, in that order.

*one*
## BaGa3P (SCAN)

Data for a PBEsol-optimized structure of BaGa3P.

Lattice parameters (Å, degrees): 5.721 5.721 5.721 90.00 90.00 90.00
Space group Pm-3m (No. 221)
Asymmetric unit:
1 Ba 0.000 0.000 0.000 [1 per cell]
2 Ga 0.000 0.000 0.500 [3 per cell]
3 P 0.500 0.500 0.500 [1 per cell]

Calculated density: 3.3 g cm⁻³
DOS(E_F): 3.1 states/eV/f.u.

*two*
## BaGa3P (SCAN)

Data for a PBEsol-optimized structure of BaGa3P.

Lattice parameters (Å, degrees): 4.980 4.980 4.980 90.00 90.00 90.00
Space group Pm-3m (No. 221)
Asymmetric unit:
1 Ba 0.000 0.000 0.000 [1 per cell]
2 Ga 0.000 0.500 0.500 [3 per cell]
3 P 0.500 0.500 0.500 [1 per cell]

Calculated density: 5.1 g cm⁻³
DOS(E_F): 3.3 states/eV/f.u.

Which of them is the most stable, and which is the least stable? *two* and *one*, in that order.